Model A:
# ZnSn2O4 (PBE, optimized geometry)
data_ZnSn2O4
_cell_length_a 3.2328
_cell_length_b 7.5970
_cell_length_c 9.3920
_cell_angle_alpha 81.10
_cell_angle_beta 80.12
_cell_angle_gamma 77.72
_space_group_name_H-M_alt 'P 1'
_space_group_IT_number 1
loop_
_space_group_symop_operation_xyz
'x,y,z'
loop_
_atom_site_label
_atom_site_type_symbol
_atom_site_fract_x
_atom_site_fract_y
_atom_site_fract_z
Sn1 Sn 0.3843 0.8232 0.4870
O1 O 0.5076 0.3601 0.7041
O2 O 0.1614 0.3281 0.4278
Sn2 Sn 0.6715 0.1989 0.5371
Sn3 Sn 0.1624 0.5239 0.2296
O3 O 0.8448 0.9875 0.4015
Sn4 Sn 0.8896 0.5086 0.7917
O4 O 0.9019 0.3103 0.9657
Zn1 Zn 0.4912 0.1544 0.9432
O5 O 0.8982 0.6870 0.5956
O6 O 0.2832 0.6535 0.8600
O7 O 0.5463 0.6671 0.3189
Zn2 Zn 0.1470 0.9186 0.8694
O8 O 0.2051 0.0320 0.6369
# Symmetry: No. 1

---

Model B:
# ZnSn2O4 (PBE, optimized geometry)
data_ZnSn2O4
_cell_length_a 5.5924
_cell_length_b 5.5924
_cell_length_c 10.9686
_cell_angle_alpha 90.00
_cell_angle_beta 90.00
_cell_angle_gamma 146.47
_space_group_name_H-M_alt 'P 1'
_space_group_IT_number 1
loop_
_space_group_symop_operation_xyz
'x,y,z'
loop_
_atom_site_label
_atom_site_type_symbol
_atom_site_fract_x
_atom_site_fract_y
_atom_site_fract_z
Sn1 Sn 0.1321 0.8679 0.9237
O1 O 0.2296 0.7704 0.3859
Sn2 Sn 0.8679 0.1321 0.0763
O2 O 0.9835 0.0165 0.2500
O3 O 0.7704 0.2296 0.6141
Sn3 Sn 0.1321 0.8679 0.5763
O4 O 0.5000 0.5000 0.0000
O5 O 0.0165 0.9835 0.7500
O6 O 0.5000 0.5000 0.5000
O7 O 0.7704 0.2296 0.8859
Zn1 Zn 0.3986 0.6014 0.7500
O8 O 0.2296 0.7704 0.1141
Sn4 Sn 0.8679 0.1321 0.4237
Zn2 Zn 0.6014 0.3986 0.2500
# Symmetry: No. 63

---

Structures ranked by computed energy, the most stable listed first: model A, model B.